No. 1
This record from Alexandria via LeMat-Bulk describes a crystal of ZrAsBr2Cl relaxed with PBEsol. The functional is SCAN.

Lattice parameters (Å, degrees): 5.104 5.104 5.356 90.00 90.00 90.00
Space group P4/mmm (No. 123)
Unique sites:
Zr 0.000 0.000 0.000
As 0.000 0.000 0.500
Br 0.000 0.500 0.000
Cl 0.500 0.500 0.500

Values from the calculation:
Energy, eV per atom: -20.123
DOS at the Fermi energy, states/eV per cell: 2.77



No. 2
This record from Alexandria via LeMat-Bulk describes a crystal of Ni15O16 relaxed with PBEsol. The functional is SCAN.

Lattice parameters (Å, degrees): 8.130 8.130 8.130 90.00 90.00 90.00
Space group Im-3m (No. 229)
Unique sites:
Ni 0.000 0.000 0.500
Ni 0.000 0.244 0.244
O 0.000 0.000 0.268
O 0.000 0.250 0.500
O 0.250 0.250 0.250

Values from the calculation:
Energy, eV per atom: -12.247
DOS at the Fermi energy, states/eV per cell: 19.99



No. 3
This record from Alexandria via LeMat-Bulk describes a crystal of Al2Ag relaxed with PBEsol. The functional is SCAN.

Lattice parameters (Å, degrees): 4.002 12.124 4.046 90.00 90.00 90.00
Space group Cmcm (No. 63)
Unique sites:
Al 0.000 0.081 0.250
Al 0.000 0.249 0.750
Ag 0.000 0.413 0.250

Values from the calculation:
ΔE_f, kJ/mol of atoms: -1.1
DOS at the Fermi energy, states/eV per cell: 4.26



No. 4
This record from Alexandria via LeMat-Bulk describes a crystal of LiLaMn relaxed with PBEsol. The functional is SCAN.

Lattice parameters (Å, degrees): 3.494 3.494 10.709 90.00 90.00 90.00
Space group I4mm (No. 107)
Unique sites:
Li 0.000 0.000 0.000
La 0.000 0.000 0.293
Mn 0.000 0.000 0.615

Values from the calculation:
ΔE_f, kJ/mol of atoms: 8.2
Energy above the lowest structure with this stoichiometry, eV per formula unit: 0.00
DOS at the Fermi energy, states/eV per cell: 3.64



No. 5
This record from Alexandria via LeMat-Bulk describes a crystal of AsPt2Br relaxed with PBEsol. The functional is SCAN.

Lattice parameters (Å, degrees): 2.919 4.403 10.959 90.00 90.00 90.00
Space group Imm2 (No. 44)
Unique sites:
As 0.000 0.000 0.000
Pt 0.000 0.000 0.565
Pt 0.000 0.500 0.296
Br 0.000 0.500 0.783

Values from the calculation:
Energy above the lowest structure with this stoichiometry, eV per formula unit: 0.42
DOS at the Fermi energy, states/eV per cell: 4.22



No. 6
This record from Alexandria via LeMat-Bulk describes a crystal of CdGa3Pb relaxed with PBEsol. The functional is SCAN.

Lattice parameters (Å, degrees): 5.392 5.392 5.392 90.00 90.00 90.00
Space group Pm-3m (No. 221)
Unique sites:
Cd 0.000 0.000 0.000
Ga 0.000 0.500 0.500
Pb 0.500 0.500 0.500

Values from the calculation:
ΔE_f, kJ/mol of atoms: 67.6
DOS at the Fermi energy, states/eV per cell: 2.72



No. 7
This record from Alexandria via LeMat-Bulk describes a crystal of BaLiSb relaxed with PBEsol. The functional is SCAN.

Lattice parameters (Å, degrees): 4.634 4.634 9.179 90.00 90.00 90.00
Space group I4mm (No. 107)
Unique sites:
Ba 0.000 0.000 0.000
Li 0.000 0.000 0.668
Sb 0.000 0.000 0.362

Values from the calculation:
Energy, eV per atom: -27.067



No. 8
This record from Alexandria via LeMat-Bulk describes a crystal of ZrBeCl2 relaxed with PBEsol. The functional is SCAN.

Lattice parameters (Å, degrees): 5.452 5.452 9.635 90.00 90.00 90.00
Space group I-42d (No. 122)
Unique sites:
Zr 0.000 0.000 0.000
Be 0.000 0.000 0.500
Cl 0.167 0.250 0.625

Values from the calculation:
Energy above the lowest structure with this stoichiometry, eV per formula unit: 3.22
DOS at the Fermi energy, states/eV per cell: 4.87